Computed, not measured: crystalline Ba2SiMo at its relaxed geometry at the GGA-PBEsol level of DFT.

Uncorrected formation energy, eV/f.u.: 3.1
Volume, Å³ per cell: 426.4
DFT total energy, eV/cell: -74.73

Lattice parameters (Å, degrees): 7.527 7.527 7.527 90.00 90.00 90.00
Space group F-43m (No. 216)
Inequivalent atoms, fractional coordinates:
Ba1 0.000 0.000 0.000 x4
Ba2 0.250 0.250 0.250 x4
Si1 0.000 0.000 0.500 x4
Mo1 0.250 0.250 0.750 x4

Computed, not measured: crystalline HgSbTe2 at its relaxed geometry at the GGA-PBEsol level of DFT.

Uncorrected formation energy, eV/f.u.: -0.3
Volume, Å³ per cell: 115.3
Excess energy over the best structure of this formula in the dataset, eV/f.u.: 0.00
DFT total energy, eV/cell: -12.45

Lattice parameters (Å, degrees): 4.331 4.331 6.146 90.00 90.00 90.00
Space group P4/mmm (No. 123)
Inequivalent atoms, fractional coordinates:
Hg1 0.000 0.000 0.000 x1
Sb1 0.500 0.500 0.500 x1
Te1 0.000 0.000 0.500 x1
Te2 0.500 0.500 0.000 x1

Computed, not measured: crystalline InAsBr2 at its relaxed geometry at the GGA-PBEsol level of DFT.

Uncorrected formation energy, eV/f.u.: -0.5
Volume, Å³ per cell: 218.7
Excess energy over the best structure of this formula in the dataset, eV/f.u.: 0.60
DFT total energy, eV/cell: -24.62

Lattice parameters (Å, degrees): 3.676 4.293 13.859 90.00 90.00 90.00
Space group Imm2 (No. 44)
Inequivalent atoms, fractional coordinates:
In1 0.000 0.000 0.000 x2
As1 0.000 0.500 0.657 x2
Br1 0.000 0.000 0.416 x2
Br2 0.000 0.500 0.180 x2

Computed, not measured: crystalline BaInRu2 at its relaxed geometry at the GGA-PBEsol level of DFT.

Volume, Å³ per cell: 311.1
DFT formation energy, eV per atom: 0.226
DFT total energy, eV/cell: -73.72

Lattice parameters (Å, degrees): 4.5746 4.5746 17.1671 90.00 90.00 120.00
Space group R-3m (No. 166, hexagonal axes)
Inequivalent atoms, fractional coordinates:
Ba1 0.0000 0.0000 0.0000 x3
In1 0.0000 0.0000 0.5000 x3
Ru1 0.0000 0.0000 0.1753 x6

Computed, not measured: crystalline SbIr at its relaxed geometry at the GGA-PBEsol level of DFT.

Uncorrected formation energy, eV/f.u.: 0.7
Volume, Å³ per cell: 143.1
DFT total energy, eV/cell: -54.77

Lattice parameters (Å, degrees): 3.932 3.932 9.254 90.00 90.00 90.00
Space group I4_1/amd (No. 141, origin choice 2)
Inequivalent atoms, fractional coordinates:
Sb1 0.000 0.250 0.375 x4
Ir1 0.000 0.250 0.875 x4

Computed, not measured: crystalline RbScAsO4F at its relaxed geometry at the GGA-PBEsol level of DFT.

Uncorrected formation energy, eV/f.u.: -19.5
Volume, Å³ per cell: 1053.6
DFT total energy, eV/cell: -441.50

Lattice parameters (Å, degrees): 13.711 6.806 11.290 90.00 90.00 90.00
Space group Pna2_1 (No. 33)
Inequivalent atoms, fractional coordinates:
Rb1 0.107 0.202 0.000 x4
Rb2 0.125 0.771 0.742 x4
Sc1 0.112 0.494 0.444 x4
Sc2 0.246 0.751 0.193 x4
As1 0.002 0.323 0.695 x4
As2 0.183 0.997 0.447 x4
O1 0.008 0.534 0.319 x4
O2 0.015 0.487 0.582 x4
O3 0.099 0.820 0.174 x4
O4 0.104 0.182 0.712 x4
O5 0.111 0.799 0.478 x4
O6 0.112 0.198 0.419 x4
O7 0.241 0.452 0.830 x4
O8 0.242 0.531 0.067 x4
F1 0.224 0.467 0.571 x4
F2 0.224 0.539 0.322 x4

Computed, not measured: crystalline KMgAs2 at its relaxed geometry at the GGA-PBEsol level of DFT.

Volume, Å³ per cell: 354.9
DFT formation energy, eV per atom: -0.049
DFT total energy, eV/cell: -53.04

Lattice parameters (Å, degrees): 7.080 7.080 7.080 90.00 90.00 90.00
Space group Fm-3m (No. 225)
Inequivalent atoms, fractional coordinates:
K1 0.000 0.000 0.000 x4
Mg1 0.000 0.000 0.500 x4
As1 0.250 0.250 0.250 x8

Computed, not measured: crystalline LiCaSe at its relaxed geometry at the GGA-PBEsol level of DFT.

Uncorrected formation energy, eV/f.u.: -3.5
Volume, Å³ per cell: 61.7
Excess energy over the best structure of this formula in the dataset, eV/f.u.: 0.00
DFT total energy, eV/cell: -11.43

Lattice parameters (Å, degrees): 4.1499 4.1499 4.1387 90.00 90.00 120.00
Space group P-6m2 (No. 187)
Inequivalent atoms, fractional coordinates:
Li1 0.0000 0.0000 0.0000 x1
Ca1 0.6667 0.3333 0.5000 x1
Se1 0.3333 0.6667 0.0000 x1

Computed, not measured: crystalline BeTeBr at its relaxed geometry at the GGA-PBEsol level of DFT.

Uncorrected formation energy, eV/f.u.: 1.2
Volume, Å³ per cell: 276.5
Excess energy over the best structure of this formula in the dataset, eV/f.u.: 0.00
DFT total energy, eV/cell: -32.79

Lattice parameters (Å, degrees): 6.515 6.515 6.515 90.00 90.00 90.00
Space group F-43m (No. 216)
Inequivalent atoms, fractional coordinates:
Be1 0.000 0.000 0.000 x4
Te1 0.250 0.250 0.750 x4
Br1 0.250 0.250 0.250 x4

Computed, not measured: crystalline PbAu at its relaxed geometry at the GGA-PBEsol level of DFT.

Volume, Å³ per cell: 185.8
DFT formation energy, eV per atom: -0.068
DFT total energy, eV/cell: -32.24

Lattice parameters (Å, degrees): 3.887 11.014 4.341 90.00 90.00 90.00
Space group Cmcm (No. 63)
Inequivalent atoms, fractional coordinates:
Pb1 0.000 0.147 0.250 x4
Au1 0.000 0.416 0.250 x4

Computed, not measured: crystalline TaP2NO at its relaxed geometry at the GGA-PBEsol level of DFT.

Uncorrected formation energy, eV/f.u.: 3.5
Volume, Å³ per cell: 90.9
DFT total energy, eV/cell: -34.38

Lattice parameters (Å, degrees): 4.868 4.868 3.836 90.00 90.00 90.00
Space group P4/mmm (No. 123)
Inequivalent atoms, fractional coordinates:
Ta1 0.000 0.000 0.000 x1
P1 0.000 0.500 0.000 x2
N1 0.500 0.500 0.500 x1
O1 0.000 0.000 0.500 x1

Computed, not measured: crystalline LaFe2Te at its relaxed geometry at the GGA-PBEsol level of DFT.

Uncorrected formation energy, eV/f.u.: 1.3
Volume, Å³ per cell: 323.4
DFT total energy, eV/cell: -101.85

Lattice parameters (Å, degrees): 6.864 6.864 6.864 90.00 90.00 90.00
Space group F-43m (No. 216)
Inequivalent atoms, fractional coordinates:
La1 0.000 0.000 0.000 x4
Fe1 0.000 0.000 0.500 x4
Fe2 0.250 0.250 0.250 x4
Te1 0.250 0.250 0.750 x4